First-principles (GGA-PBE) data for crystalline YCrAg2 at its relaxed geometry, as listed in Alexandria via LeMat-Bulk.

Properties
magnetic moment = 16.80 μB per cell
volume = 82.9 Å³/f.u.

Cell: 6.9227 6.9227 6.9227 Å, 90.00 90.00 90.00°
Space group Fm-3m (No. 225)
Asymmetric unit:
1 Y 0.0000 0.0000 0.0000 x4
2 Cr 0.0000 0.0000 0.5000 x4
3 Ag 0.2500 0.2500 0.2500 x8

First-principles (GGA-PBE) data for crystalline LaLuOs4 at its relaxed geometry, as listed in Alexandria via LeMat-Bulk.

Properties
magnetic moment = 0.00 μB per cell
volume = 111.4 Å³/f.u.

Cell: 7.6384 7.6384 7.6384 Å, 90.00 90.00 90.00°
Space group F-43m (No. 216)
Asymmetric unit:
1 La 0.0000 0.0000 0.0000 x4
2 Lu 0.2500 0.2500 0.2500 x4
3 Os 0.1246 0.1246 0.6246 x16

First-principles (GGA-PBE) data for crystalline Ac4Ge5Au2 at its relaxed geometry, as listed in Alexandria via LeMat-Bulk.

Properties
magnetic moment = 0.00 μB per cell
volume = 304.2 Å³/f.u.

Cell: 7.6573 4.5232 8.7938 Å, 90.00 92.83 90.00°
Space group P2/m (No. 10)
Asymmetric unit:
1 Ac 0.2364 0.0000 0.1321 x2
2 Ac 0.2613 0.0000 0.6398 x2
3 Ge 0.1057 0.5000 0.8868 x2
4 Ge 0.4315 0.5000 0.3602 x2
5 Ge 0.5000 0.5000 0.0000 x1
6 Au 0.0929 0.5000 0.3716 x2

First-principles (GGA-PBE) data for crystalline AcPrTl4 at its relaxed geometry, as listed in Alexandria via LeMat-Bulk.

Properties
magnetic moment = 0.00 μB per cell
volume = 184.5 Å³/f.u.

Cell: 9.0366 9.0366 9.0366 Å, 90.00 90.00 90.00°
Space group F-43m (No. 216)
Asymmetric unit:
1 Ac 0.0000 0.0000 0.0000 x4
2 Pr 0.2500 0.2500 0.2500 x4
3 Tl 0.1248 0.1248 0.6248 x16

First-principles (GGA-PBE) data for crystalline Ac4In2Co at its relaxed geometry, as listed in Alexandria via LeMat-Bulk.

Properties
magnetic moment = 0.00 μB per cell
volume = 244.5 Å³/f.u.

Cell: 6.6617 7.3871 10.1675 Å, 90.00 102.25 90.00°
Space group P2_1/m (No. 11)
Asymmetric unit:
1 Ac 0.2022 0.2500 0.0937 x2
2 Ac 0.2307 0.0024 0.7486 x4
3 Ac 0.2943 0.7500 0.4014 x2
4 In 0.1820 0.2500 0.4420 x2
5 In 0.3497 0.7500 0.0530 x2
6 Co 0.0291 0.7500 0.1611 x2

First-principles (GGA-PBE) data for crystalline CrCdCo2 at its relaxed geometry, as listed in Alexandria via LeMat-Bulk.

Properties
magnetic moment = 6.59 μB per cell
volume = 53.8 Å³/f.u.

Cell: 8.7404 2.7235 4.6284 Å, 90.00 102.35 90.00°
Space group Cm (No. 8)
Asymmetric unit:
1 Cr 0.0000 0.0000 0.0000 x2
2 Cd 0.2308 0.0000 0.6703 x2
3 Co 0.2384 0.5000 0.1736 x2
4 Co 0.4704 0.0000 0.3992 x2

The records above yield energy of formation values of 0.3, -0.9, -7.6, -1.2, -1.6, 1.7 eV/f.u., respectively.